Record 1
DFT (GGA-PBE) results for a relaxed YTe2RhF crystal.

a = 5.799 Å, b = 5.096 Å, c = 5.799 Å
α = 90.00°, β = 90.00°, γ = 90.00°
Atoms (fractional coordinates):
F1 0.500 0.500 0.500
Y1 0.000 0.000 0.000
Rh1 0.000 0.500 0.000
Te1 0.000 0.000 0.500
Te2 0.500 0.000 0.000

Summary:
Total energy   -20.61 eV per formula unit
Formation energy from raw total energies   0.271 eV/atom


Record 2
DFT (GGA-PBE) results for a relaxed LiAlOF2 crystal.

a = 3.772 Å, b = 3.772 Å, c = 3.570 Å
α = 90.00°, β = 90.00°, γ = 90.00°
Atoms (fractional coordinates):
F1 0.000 0.500 0.000
Al1 0.000 0.000 0.000
Li1 0.500 0.500 0.500
F2 0.500 0.000 0.000
O1 0.000 0.000 0.500

Summary:
Polymorph energy (0 for the lowest one)   0 meV per atom
Total energy   -28.65 eV per formula unit
Formation energy from raw total energies   -2.858 eV/atom